1.
Entry from the Alexandria database: LiCa2Pd after structural relaxation (PBE).

Lattice parameters (Å, degrees): 4.139 4.139 8.572 76.03 76.03 60.00
Fractional coordinates of all 4 atoms:
Pd 0.665 0.665 0.004
Li 0.502 0.502 0.493
Ca 0.064 0.064 0.808
Ca 0.269 0.269 0.194

## Properties
* symmetry: No. 160
* energy of formation from the pure elements: -0.2534 eV per atom

2.
Entry from the Alexandria database: LiMnBr2 after structural relaxation (PBE).

Lattice parameters (Å, degrees): 3.768 7.443 3.755 90.00 90.00 90.00
Each line ends with the local moment (μB).
Fractional coordinates of all 4 atoms:
Li 0.500 0.000 0.500  0.00
Mn 0.000 0.500 0.500  4.03
Br 0.000 0.000 0.000  0.01
Br 0.500 0.500 0.000  0.06

## Properties
* symmetry: No. 47
* E above lowest polymorph: 0.1406 eV per atom
* energy relative to the elements, uncorrected: -2.04 eV/f.u.

3.
Entry from the Alexandria database: TbNpC after structural relaxation (PBE).

Lattice parameters (Å, degrees): 3.431 3.431 24.446 90.00 90.00 120.00
Each line ends with the local moment (μB).
Fractional coordinates of all 12 atoms:
Tb 0.000 0.000 0.250  0.01
Np 0.333 0.667 0.120  3.42
Np 0.667 0.333 0.620  3.42
C 0.667 0.333 0.068  -0.12
C 0.333 0.667 0.568  -0.12
Tb 0.000 0.000 0.750  0.01
C 0.667 0.333 0.432  -0.12
Tb 0.000 0.000 0.500  0.05
Tb 0.000 0.000 0.000  0.05
Np 0.333 0.667 0.380  3.42
C 0.333 0.667 0.932  -0.12
Np 0.667 0.333 0.880  3.42

## Properties
* symmetry: No. 194
* E above lowest polymorph: 0.0316 eV per atom
* energy of formation from the pure elements: 0.1271 eV per atom

4.
Entry from the Alexandria database: LiMgTcSn after structural relaxation (PBE).

Lattice parameters (Å, degrees): 4.575 4.575 4.575 60.00 60.00 60.00
Fractional coordinates of all 4 atoms:
Tc 0.000 0.000 0.000
Mg 0.250 0.250 0.250
Li 0.500 0.500 0.500
Sn 0.750 0.750 0.750

## Properties
* symmetry: No. 216
* energy of formation from the pure elements: -0.0298 eV per atom

no.,volume (A^3/atom)
1,30.54
2,26.33
3,20.77
4,16.93